Entry 1:
The following is a DFT calculation (PBE) of an optimized crystal structure of Pm2ErRh3. Values from VASP.

Geometry as Quantum ESPRESSO input:
```
&SYSTEM
  ibrav = 0, nat = 6, ntyp = 3
/
ATOMIC_SPECIES
Pm 145.00 Pm.upf
Er 167.26 Er.upf
Rh 102.91 Rh.upf
CELL_PARAMETERS angstrom
3.4656 0.0000 0.0000
0.0000 3.4656 0.0000
0.0000 0.0000 10.5048
ATOMIC_POSITIONS angstrom
Pm 1.7328 1.7328 8.7187
Pm 1.7328 1.7328 1.7861
Er 1.7328 1.7328 5.2524
Rh 0.0000 0.0000 0.0000
Rh 0.0000 0.0000 6.8969
Rh 0.0000 0.0000 3.6079
```

ΔH_f (0 K)	-0.759	eV/atom
V	21.03	Å³ per atom
total energy	-6.78	eV/atom

***

Entry 2:
The following is a DFT calculation (PBE) of an optimized crystal structure of ScTa2Os. Values from VASP.

Geometry as Quantum ESPRESSO input:
```
&SYSTEM
  ibrav = 0, nat = 4, ntyp = 3
/
ATOMIC_SPECIES
Os 190.23 Os.upf
Sc 44.96 Sc.upf
Ta 180.95 Ta.upf
CELL_PARAMETERS angstrom
-1.6865 4.1225 -3.3168
-3.7873 1.7185 -3.6801
-3.3275 2.6395 1.7760
ATOMIC_POSITIONS angstrom
Os -6.6010 6.3603 -3.9157
Sc -2.2003 2.1201 -1.3052
Ta -3.3678 2.6993 1.6126
Ta -4.3604 4.1804 -2.4471
```

ΔH_f (0 K)	-0.236	eV/atom
V	17.72	Å³ per atom
total energy	-10.55	eV/atom

***

Entry 3:
The following is a DFT calculation (PBE) of an optimized crystal structure of Sm2MgSe3. Values from VASP.

Geometry as Quantum ESPRESSO input:
```
&SYSTEM
  ibrav = 0, nat = 6, ntyp = 3
/
ATOMIC_SPECIES
Sm 150.36 Sm.upf
Mg 24.30 Mg.upf
Se 78.96 Se.upf
CELL_PARAMETERS angstrom
8.2113 1.2407 4.0974
5.2889 6.2122 4.3805
-7.8877 -4.5390 -1.7132
ATOMIC_POSITIONS angstrom
Sm 9.1174 5.0333 5.7256
Sm 4.3828 2.4196 2.7523
Mg 0.0000 0.0000 0.0000
Se 6.7501 3.7264 4.2390
Se 11.4155 6.3020 7.1688
Se 2.0846 1.1508 1.3091
```

E_form (uncorrected)	-1.59	eV/atom
V	24.44	Å³ per atom
total energy	-5.17	eV/atom

***

Entry 4:
The following is a DFT calculation (PBE) of an optimized crystal structure of Sm2Al3ZnCu4. Values from VASP.

Geometry as Quantum ESPRESSO input:
```
&SYSTEM
  ibrav = 0, nat = 10, ntyp = 4
/
ATOMIC_SPECIES
Sm 150.36 Sm.upf
Al 26.98 Al.upf
Zn 65.41 Zn.upf
Cu 63.55 Cu.upf
CELL_PARAMETERS angstrom
4.2007 0.0000 0.0000
0.0000 4.2007 0.0000
0.0000 0.0000 10.1497
ATOMIC_POSITIONS angstrom
Sm 2.1004 0.0000 2.5023
Sm 0.0000 2.1004 7.6474
Al 0.0000 0.0000 5.0748
Al 2.1004 0.0000 8.8595
Al 0.0000 2.1004 1.2902
Zn 2.1004 2.1004 5.0748
Cu 2.1004 2.1004 0.0000
Cu 0.0000 0.0000 0.0000
Cu 2.1004 0.0000 6.4325
Cu 0.0000 2.1004 3.7171
```

ΔH_f (0 K)	-0.354	eV/atom
V	17.91	Å³ per atom
total energy	-4.19	eV/atom

***

Entry 5:
The following is a DFT calculation (PBE) of an optimized crystal structure of MnCdOs2. Values from VASP.

Geometry as Quantum ESPRESSO input:
```
&SYSTEM
  ibrav = 0, nat = 4, ntyp = 3
/
ATOMIC_SPECIES
Cd 112.41 Cd.upf
Mn 54.94 Mn.upf
Os 190.23 Os.upf
CELL_PARAMETERS angstrom
2.7442 0.0004 0.0000
-1.2278 2.4542 0.0000
0.0000 0.0000 9.3125
ATOMIC_POSITIONS angstrom
Cd 0.0000 0.0000 4.7151
Mn 0.7582 1.2273 7.1611
Os 0.0000 0.0000 9.2435
Os 0.7582 1.2273 2.1617
```

ΔH_f (0 K)	0.559	eV/atom
V	15.68	Å³ per atom
total energy	-7.58	eV/atom

***

Entry 6:
The following is a DFT calculation (PBE) of an optimized crystal structure of TbBe4Rh. Values from VASP.

Geometry as Quantum ESPRESSO input:
```
&SYSTEM
  ibrav = 0, nat = 6, ntyp = 3
/
ATOMIC_SPECIES
Rh 102.91 Rh.upf
Tb 158.93 Tb.upf
Be 9.01 Be.upf
CELL_PARAMETERS angstrom
4.6884 0.0000 0.0000
2.3442 4.0603 0.0000
2.3442 1.3534 3.8281
ATOMIC_POSITIONS angstrom
Rh 0.0000 0.0000 0.0000
Tb 2.3442 1.3534 0.9570
Be 4.6884 2.7068 0.4352
Be 4.6884 1.3126 2.4070
Be 5.8959 3.4040 2.4070
Be 3.4809 3.4040 2.4070
```

ΔH_f (0 K)	-0.329	eV/atom
V	12.15	Å³ per atom
total energy	-4.81	eV/atom

***

Entry 7:
The following is a DFT calculation (PBE) of an optimized crystal structure of SrLi2Sb2Pb. Values from VASP.

Geometry as Quantum ESPRESSO input:
```
&SYSTEM
  ibrav = 0, nat = 6, ntyp = 4
/
ATOMIC_SPECIES
Sr 87.62 Sr.upf
Li 6.94 Li.upf
Sb 121.76 Sb.upf
Pb 207.20 Pb.upf
CELL_PARAMETERS angstrom
4.8781 0.0000 0.0000
-2.4391 4.2246 0.0000
0.0000 0.0000 7.8581
ATOMIC_POSITIONS angstrom
Sr 0.0000 0.0000 0.0000
Li 0.0000 2.8164 5.1843
Li 2.4391 1.4082 2.6739
Sb 0.0000 2.8164 1.9995
Sb 2.4391 1.4082 5.8586
Pb 0.0000 0.0000 3.9291
```

E_form (uncorrected)	-0.64	eV/atom
V	26.99	Å³ per atom
total energy	-3.55	eV/atom

***

Entry 8:
The following is a DFT calculation (PBE) of an optimized crystal structure of RbLi2WS. Values from VASP.

Geometry as Quantum ESPRESSO input:
```
&SYSTEM
  ibrav = 0, nat = 5, ntyp = 4
/
ATOMIC_SPECIES
S 32.06 S.upf
Rb 85.47 Rb.upf
W 183.84 W.upf
Li 6.94 Li.upf
CELL_PARAMETERS angstrom
-0.9323 -1.9582 -4.7627
-3.1657 -4.9722 2.6641
-4.4675 2.7149 -0.2417
ATOMIC_POSITIONS angstrom
S -4.2828 -2.1078 -1.1702
Rb -1.5829 -2.4861 1.3320
W 0.0000 0.0000 0.0000
Li -2.2337 1.3574 -0.1209
Li -0.4662 -0.9791 -2.3813
```

E_form (uncorrected)	1.34	eV/atom
V	35.43	Å³ per atom
total energy	-3.04	eV/atom

***

Entry 9:
The following is a DFT calculation (PBE) of an optimized crystal structure of Ho5In2Bi. Values from VASP.

Geometry as Quantum ESPRESSO input:
```
&SYSTEM
  ibrav = 0, nat = 16, ntyp = 3
/
ATOMIC_SPECIES
Ho 164.93 Ho.upf
In 114.82 In.upf
Bi 208.98 Bi.upf
CELL_PARAMETERS angstrom
-7.4259 -3.9980 -0.1339
1.2885 -2.6579 7.9007
0.1745 8.6282 -1.6283
ATOMIC_POSITIONS angstrom
Ho -2.7104 2.1848 4.3107
Ho -4.6134 -3.2779 7.2858
Ho 0.0000 0.0000 0.0000
Ho -3.0687 -3.3280 3.8834
Ho -1.3495 5.2502 -1.1473
Ho -4.8100 2.7303 0.3341
Ho 0.7500 4.7047 2.8293
Ho -1.1530 -0.7581 5.8044
Ho -6.7130 -2.7325 3.3092
Ho -3.2525 -0.2126 1.8278
In -0.6405 -1.5265 2.7658
In -4.6178 -2.9803 1.0781
In -1.5196 -3.6757 6.6887
In -5.4969 -5.1294 5.0010
Bi -4.5158 -0.6779 5.0110
Bi -1.4471 2.6501 1.1275
```

ΔH_f (0 K)	-0.460	eV/atom
V	28.66	Å³ per atom
total energy	-4.49	eV/atom

***

Entry 10:
The following is a DFT calculation (PBE) of an optimized crystal structure of PuSi2Tc2. Values from VASP.

Geometry as Quantum ESPRESSO input:
```
&SYSTEM
  ibrav = 0, nat = 5, ntyp = 3
/
ATOMIC_SPECIES
Pu 244.00 Pu.upf
Si 28.09 Si.upf
Tc 98.00 Tc.upf
CELL_PARAMETERS angstrom
4.0896 0.0019 -0.0004
0.0019 4.0901 -0.0001
-2.0463 -2.0469 5.1314
ATOMIC_POSITIONS angstrom
Pu 0.0000 0.0000 0.0000
Si 2.0461 2.0463 1.2283
Si -0.0009 -0.0012 3.9026
Tc 2.0438 0.0013 2.5652
Tc 0.0015 2.0438 2.5657
```

E_form (uncorrected)	-0.46	eV/atom
V	17.17	Å³ per atom
total energy	-9.64	eV/atom
relative energy among the computed polymorphs	0	meV per atom

***

Entry 11:
The following is a DFT calculation (PBE) of an optimized crystal structure of MgAl2Mo. Values from VASP.

Geometry as Quantum ESPRESSO input:
```
&SYSTEM
  ibrav = 0, nat = 4, ntyp = 3
/
ATOMIC_SPECIES
Al 26.98 Al.upf
Mg 24.30 Mg.upf
Mo 95.94 Mo.upf
CELL_PARAMETERS angstrom
-5.5600 -0.8473 -2.7619
4.0048 -2.4385 -1.6510
-1.2991 -2.4689 0.4838
ATOMIC_POSITIONS angstrom
Al 0.0000 0.0000 0.0000
Al -3.4295 -1.6581 -1.1390
Mg 1.3528 -2.4537 -0.5836
Mo -0.7776 -1.6429 -2.2064
```

ΔH_f (0 K)	-0.033	eV/atom
V	16.28	Å³ per atom
total energy	-5.01	eV/atom

***

Entry 12:
The following is a DFT calculation (PBE) of an optimized crystal structure of MgZn4. Values from VASP.

Geometry as Quantum ESPRESSO input:
```
&SYSTEM
  ibrav = 0, nat = 5, ntyp = 2
/
ATOMIC_SPECIES
Mg 24.30 Mg.upf
Zn 65.41 Zn.upf
CELL_PARAMETERS angstrom
6.2539 0.0000 0.0000
0.0000 6.2539 0.0000
3.1270 3.1270 2.0800
ATOMIC_POSITIONS angstrom
Mg 0.0000 0.0000 0.0000
Zn 5.0160 3.6542 0.0000
Zn 1.2379 2.5997 0.0000
Zn 3.6542 1.2379 0.0000
Zn 2.5997 5.0160 0.0000
```

ΔH_f (0 K)	-0.024	eV/atom
V	16.27	Å³ per atom
total energy	-1.36	eV/atom
relative energy among the computed polymorphs	10	meV per atom